Record 1
BeCdTe2 | PBE | relaxed

## Properties
- SG: P-4m2, No. 115
- E above lowest polymorph: 0 meV/atom

Lattice parameters (Å, degrees): 4.2674 4.2674 6.3233 90.00 90.00 90.00
Fractional positions:
1 Be 0.0000 0.0000 0.0000
2 Cd 0.5000 0.5000 0.5000
3 Te 0.0000 0.5000 0.2075
4 Te 0.5000 0.0000 0.7925

Record 2
TmBeCd | PBE | relaxed

## Properties
- Magnetization: 0.00 μB per formula unit
- SG: F-43m, No. 216
- E above lowest polymorph: 592 meV/atom

Lattice parameters (Å, degrees): 4.7050 4.7050 4.7050 60.00 60.00 60.00
Fractional positions:
1 Tm 0.0000 0.0000 0.0000
2 Be 0.7500 0.7500 0.7500
3 Cd 0.2500 0.2500 0.2500

Record 3
TmBeCd | PBE | relaxed

## Properties
- Magnetization: 0.05 μB per formula unit
- SG: F-43m, No. 216
- E above lowest polymorph: 0 meV/atom

Lattice parameters (Å, degrees): 4.4488 4.4488 4.4488 60.00 60.00 60.00
Fractional positions:
1 Tm 0.0000 0.0000 0.0000
2 Be 0.7500 0.7500 0.7500
3 Cd 0.5000 0.5000 0.5000

Record 4
Be3Cd2W2 | PBE | relaxed

## Properties
- Magnetization: 0.74 μB per formula unit
- DFT total energy: -33.5 eV/cell
- SG: R3m, No. 160

Lattice parameters (Å, degrees): 7.0932 7.0932 7.0932 33.96 33.96 33.96
Fractional positions:
1 Be 0.0000 0.0000 0.0000
2 Be 0.2512 0.2512 0.2512
3 Be 0.5028 0.5028 0.5028
4 Cd 0.1231 0.1231 0.1231
5 Cd 0.6311 0.6311 0.6311
6 W 0.3805 0.3805 0.3805
7 W 0.8727 0.8727 0.8727

Record 5
YBeCd | PBE | relaxed

## Properties
- Magnetization: 0.03 μB per formula unit
- SG: F-43m, No. 216
- E above lowest polymorph: 289 meV/atom

Lattice parameters (Å, degrees): 4.7403 4.7403 4.7403 60.00 60.00 60.00
Fractional positions:
1 Y 0.0000 0.0000 0.0000
2 Be 0.7500 0.7500 0.7500
3 Cd 0.2500 0.2500 0.2500

Record 6
YBeCd | PBE | relaxed

## Properties
- Magnetization: 0.04 μB per formula unit
- SG: F-43m, No. 216
- E above lowest polymorph: 0 meV/atom

Lattice parameters (Å, degrees): 4.6328 4.6328 4.6328 60.00 60.00 60.00
Fractional positions:
1 Y 0.0000 0.0000 0.0000
2 Be 0.5000 0.5000 0.5000
3 Cd 0.7500 0.7500 0.7500

Record 7
YBe2Cd | PBE | relaxed

## Properties
- Magnetization: 0.00 μB per formula unit
- DFT total energy: -13.9 eV/cell
- SG: F-43m, No. 216

Lattice parameters (Å, degrees): 4.6047 4.6047 4.6047 60.00 60.00 60.00
Fractional positions:
1 Y 0.0000 0.0000 0.0000
2 Be 0.5000 0.5000 0.5000
3 Be 0.7500 0.7500 0.7500
4 Cd 0.2500 0.2500 0.2500

Record 8
Be2ZnCd | PBE | relaxed

## Properties
- SG: F-43m, No. 216
- E above lowest polymorph: 1 meV/atom

Lattice parameters (Å, degrees): 4.2423 4.2423 4.2423 60.00 60.00 60.00
Fractional positions:
1 Be 0.0000 0.0000 0.0000
2 Be 0.2500 0.2500 0.2500
3 Zn 0.5000 0.5000 0.5000
4 Cd 0.7500 0.7500 0.7500

Record 9
Be2ZnCd | PBE | relaxed

## Properties
- SG: F-43m, No. 216
- E above lowest polymorph: 0 meV/atom

Lattice parameters (Å, degrees): 4.2545 4.2545 4.2545 60.00 60.00 60.00
Fractional positions:
1 Be 0.0000 0.0000 0.0000
2 Be 0.2500 0.2500 0.2500
3 Zn 0.7500 0.7500 0.7500
4 Cd 0.5000 0.5000 0.5000

Record 10
BeZnCd2 | PBE | relaxed

## Properties
- DFT total energy: -5.1 eV/cell
- SG: F-43m, No. 216

Lattice parameters (Å, degrees): 4.5924 4.5924 4.5924 60.00 60.00 60.00
Fractional positions:
1 Be 0.0000 0.0000 0.0000
2 Zn 0.2500 0.2500 0.2500
3 Cd 0.5000 0.5000 0.5000
4 Cd 0.7500 0.7500 0.7500

Record 11
Zr2BeCd | PBE | relaxed

## Properties
- Magnetization: 3.28 μB per formula unit
- DFT total energy: -19.9 eV/cell
- SG: F-43m, No. 216

Lattice parameters (Å, degrees): 4.8297 4.8297 4.8297 60.00 60.00 60.00
Fractional positions:
1 Zr 0.0000 0.0000 0.0000
2 Zr 0.2500 0.2500 0.2500
3 Be 0.5000 0.5000 0.5000
4 Cd 0.7500 0.7500 0.7500

Record 12
ZrBeCd2 | PBE | relaxed

## Properties
- Magnetization: 0.01 μB per formula unit
- DFT total energy: -13.4 eV/cell
- SG: F-43m, No. 216

Lattice parameters (Å, degrees): 4.6879 4.6879 4.6879 60.00 60.00 60.00
Fractional positions:
1 Zr 0.0000 0.0000 0.0000
2 Be 0.7500 0.7500 0.7500
3 Cd 0.2500 0.2500 0.2500
4 Cd 0.5000 0.5000 0.5000

Record 13
Dy3BeCl | PBE | relaxed

## Properties
- Magnetization: 0.02 μB per formula unit
- DFT total energy: -19.6 eV/cell
- SG: Pm-3m, No. 221

Lattice parameters (Å, degrees): 5.0620 5.0620 5.0620 90.00 90.00 90.00
Fractional positions:
1 Dy 0.0000 0.0000 0.5000
2 Dy 0.0000 0.5000 0.0000
3 Dy 0.5000 0.0000 0.0000
4 Be 0.5000 0.5000 0.5000
5 Cl 0.0000 0.0000 0.0000

Record 14
BeIrCl3 | PBE | relaxed

## Properties
- Magnetization: 1.00 μB per formula unit
- DFT total energy: -37.5 eV/cell
- SG: P-31m, No. 162

Lattice parameters (Å, degrees): 6.0212 6.0212 6.1578 90.00 90.00 120.00
Fractional positions:
1 Be 0.0000 0.0000 0.1867
2 Be 0.0000 0.0000 0.8133
3 Ir 0.3333 0.6667 0.5000
4 Ir 0.6667 0.3333 0.5000
5 Cl 0.0000 0.3297 0.7414
6 Cl 0.0000 0.6703 0.2586
7 Cl 0.3297 0.0000 0.7414
8 Cl 0.3297 0.3297 0.2586
9 Cl 0.6703 0.0000 0.2586
10 Cl 0.6703 0.6703 0.7414

Record 15
K3Zr6BeCl15 | PBE | relaxed

## Properties
- Magnetization: 0.00 μB per formula unit
- DFT total energy: -257.5 eV/cell
- SG: C2/c, No. 15

Lattice parameters (Å, degrees): 10.0255 10.0255 14.1520 92.13 92.13 69.58
Fractional positions:
1 K 0.0623 0.9377 0.7500
2 K 0.1316 0.6419 0.4326
3 K 0.3581 0.8684 0.0674
4 K 0.6419 0.1316 0.9326
5 K 0.8684 0.3581 0.5674
6 K 0.9377 0.0623 0.2500
7 Zr 0.0017 0.7310 0.0011
8 Zr 0.1526 0.4528 0.1351
9 Zr 0.1995 0.4246 0.9021
10 Zr 0.2690 0.9983 0.4989
11 Zr 0.4246 0.1995 0.4021
12 Zr 0.4528 0.1526 0.6351
13 Zr 0.5472 0.8474 0.3649
14 Zr 0.5754 0.8005 0.5979
15 Zr 0.7310 0.0017 0.5011
16 Zr 0.8005 0.5754 0.0979
17 Zr 0.8474 0.5472 0.8649
18 Zr 0.9983 0.2690 0.9989
19 Be 0.0000 0.5000 0.0000
20 Be 0.5000 0.0000 0.5000
21 Cl 0.0000 0.0000 0.0000
22 Cl 0.0000 0.0000 0.5000
23 Cl 0.0493 0.4826 0.7460
24 Cl 0.1555 0.2229 0.3989
25 Cl 0.1592 0.1906 0.1471
26 Cl 0.1588 0.7118 0.1518
27 Cl 0.1906 0.1592 0.6471
28 Cl 0.2229 0.1555 0.8989
29 Cl 0.2230 0.6770 0.8960
30 Cl 0.2882 0.8412 0.3482
31 Cl 0.3230 0.7770 0.6040
32 Cl 0.3303 0.4259 0.2897
33 Cl 0.3655 0.3856 0.5412
34 Cl 0.3856 0.3655 0.0412
35 Cl 0.4259 0.3303 0.7897
36 Cl 0.4826 0.0493 0.2460
37 Cl 0.5174 0.9507 0.7540
38 Cl 0.5741 0.6697 0.2103
39 Cl 0.6144 0.6345 0.9588
40 Cl 0.6345 0.6144 0.4588
41 Cl 0.6697 0.5741 0.7103
42 Cl 0.6770 0.2230 0.3960
43 Cl 0.7118 0.1588 0.6518
44 Cl 0.7770 0.3230 0.1040
45 Cl 0.7771 0.8445 0.1011
46 Cl 0.8094 0.8408 0.3529
47 Cl 0.8412 0.2882 0.8482
48 Cl 0.8408 0.8094 0.8529
49 Cl 0.8445 0.7771 0.6011
50 Cl 0.9507 0.5174 0.2540

Record 16
Be5PdCl | PBE | relaxed

## Properties
- DFT total energy: -23.4 eV/cell
- SG: Imm2, No. 44

Lattice parameters (Å, degrees): 4.8889 4.8889 4.8889 120.19 102.57 106.23
Fractional positions:
1 Be 0.0000 0.0000 0.0000
2 Be 0.1685 0.8499 0.3186
3 Be 0.5314 0.8499 0.6814
4 Be 0.6667 0.3951 0.7284
5 Be 0.6667 0.9382 0.2716
6 Pd 0.0077 0.5077 0.5000
7 Cl 0.4065 0.4065 0.0000

Record 17
Ta2Be2Cl | PBE | relaxed

## Properties
- Magnetization: 0.02 μB per formula unit
- DFT total energy: -30.4 eV/cell
- SG: P4/mmm, No. 123

Lattice parameters (Å, degrees): 3.0903 3.0903 7.3454 90.00 90.00 90.00
Fractional positions:
1 Ta 0.0000 0.0000 0.2326
2 Ta 0.0000 0.0000 0.7674
3 Be 0.0000 0.5000 0.5000
4 Be 0.5000 0.0000 0.5000
5 Cl 0.5000 0.5000 0.0000

Record 18
BeCo3 | PBE | relaxed

## Properties
- Magnetization: 4.43 μB per formula unit
- DFT total energy: -25.1 eV/cell
- SG: Pm-3m, No. 221

Lattice parameters (Å, degrees): 3.4227 3.4227 3.4227 90.00 90.00 90.00
Fractional positions:
1 Be 0.0000 0.0000 0.0000
2 Co 0.0000 0.5000 0.5000
3 Co 0.5000 0.0000 0.5000
4 Co 0.5000 0.5000 0.0000

Record 19
BeCo | PBE | relaxed

## Properties
- Magnetization: 0.03 μB per formula unit
- DFT total energy: -11.5 eV/cell
- SG: Pm-3m, No. 221

Lattice parameters (Å, degrees): 2.5879 2.5879 2.5879 90.00 90.00 90.00
Fractional positions:
1 Be 0.0000 0.0000 0.0000
2 Co 0.5000 0.5000 0.5000

Record 20
Be5Co | PBE | relaxed

## Properties
- Magnetization: 0.40 μB per formula unit
- DFT total energy: -26.3 eV/cell
- SG: P6/mmm, No. 191

Lattice parameters (Å, degrees): 4.0936 4.0936 3.4318 90.00 90.00 120.00
Fractional positions:
1 Be 0.0000 0.5000 0.0000
2 Be 0.3333 0.6667 0.5000
3 Be 0.5000 0.0000 0.0000
4 Be 0.5000 0.5000 0.0000
5 Be 0.6667 0.3333 0.5000
6 Co 0.0000 0.0000 0.5000